[1]
# MgSbTe3 (PBE-GGA, relaxed)
# **Energy above the most stable polymorph in this dataset**: 0.000 eV/atom
# **Uncorrected formation energy**: 275 meV/atom
data_MgSbTe3
_symmetry_space_group_name_H-M 'P m -3 m'
_symmetry_Int_Tables_number 221
_symmetry_space_group_name_Hall '-P 4 2 3'
_cell_length_a 5.4015
_cell_length_b 5.4015
_cell_length_c 5.4015
_cell_angle_alpha 90.00
_cell_angle_beta 90.00
_cell_angle_gamma 90.00
loop_
_atom_site_label
_atom_site_type_symbol
_atom_site_fract_x
_atom_site_fract_y
_atom_site_fract_z
Mg1 Mg 0.0000 0.0000 0.0000
Sb1 Sb 0.5000 0.5000 0.5000
Te1 Te 0.0000 0.0000 0.5000



[2]
# EuLu2Re (PBE-GGA, relaxed)
# **DFT formation energy**: 0.289 eV/atom
data_EuLu2Re
_symmetry_space_group_name_H-M 'R -3 m'
_symmetry_Int_Tables_number 166
_symmetry_space_group_name_Hall '-R 3 2"'
_cell_length_a 5.0771
_cell_length_b 5.0771
_cell_length_c 12.4862
_cell_angle_alpha 90.00
_cell_angle_beta 90.00
_cell_angle_gamma 120.00
loop_
_atom_site_label
_atom_site_type_symbol
_atom_site_fract_x
_atom_site_fract_y
_atom_site_fract_z
Eu1 Eu 0.0000 0.0000 0.0000
Lu1 Lu 0.0000 0.0000 0.2496
Re1 Re 0.0000 0.0000 0.5000



[3]
# ZnBi2Te (PBE-GGA, relaxed)
# **Energy above the most stable polymorph in this dataset**: 0.000 eV/atom
# **Uncorrected formation energy**: 215 meV/atom
data_ZnBi2Te
_symmetry_space_group_name_H-M 'I -4 2 d'
_symmetry_Int_Tables_number 122
_symmetry_space_group_name_Hall 'I -4 2bw'
_cell_length_a 6.4998
_cell_length_b 6.4998
_cell_length_c 14.5805
_cell_angle_alpha 90.00
_cell_angle_beta 90.00
_cell_angle_gamma 90.00
loop_
_atom_site_label
_atom_site_type_symbol
_atom_site_fract_x
_atom_site_fract_y
_atom_site_fract_z
Zn1 Zn 0.0000 0.0000 0.0000
Bi1 Bi 0.2015 0.2500 0.1250
Te1 Te 0.0000 0.0000 0.5000



[4]
# NdGdCd (PBE-GGA, relaxed)
# **DFT formation energy**: 0.285 eV/atom
# **Energy above the most stable polymorph in this dataset**: 0.376 eV/atom
data_NdGdCd
_symmetry_space_group_name_H-M 'I 4 m m'
_symmetry_Int_Tables_number 107
_symmetry_space_group_name_Hall 'I 4 -2'
_cell_length_a 3.4111
_cell_length_b 3.4111
_cell_length_c 18.1686
_cell_angle_alpha 90.00
_cell_angle_beta 90.00
_cell_angle_gamma 90.00
loop_
_atom_site_label
_atom_site_type_symbol
_atom_site_fract_x
_atom_site_fract_y
_atom_site_fract_z
Nd1 Nd 0.0000 0.0000 0.0000
Gd1 Gd 0.0000 0.0000 0.6420
Cd1 Cd 0.0000 0.0000 0.8197



[5]
# PrSm7Th2 (PBE-GGA, relaxed)
# **DFT formation energy**: 0.037 eV/atom
data_PrSm7Th2
_symmetry_space_group_name_H-M 'P -1'
_symmetry_Int_Tables_number 2
_cell_length_a 6.2743
_cell_length_b 6.2774
_cell_length_c 9.5895
_cell_angle_alpha 102.51
_cell_angle_beta 108.90
_cell_angle_gamma 99.73
loop_
_symmetry_equiv_pos_as_xyz
'x,y,z'
'-x,-y,-z'
loop_
_atom_site_label
_atom_site_type_symbol
_atom_site_fract_x
_atom_site_fract_y
_atom_site_fract_z
Pr1 Pr 0.0000 0.0000 0.0000
Sm1 Sm 0.0000 0.5000 0.5000
Sm2 Sm 0.1999 0.0939 0.6943
Sm3 Sm 0.2092 0.6066 0.2079
Sm4 Sm 0.4023 0.7001 0.8960
Th1 Th 0.4057 0.2042 0.4050



[6]
# Pr3Ho2Cd3 (PBE-GGA, relaxed)
# **DFT formation energy**: -0.234 eV/atom
data_Pr3Ho2Cd3
_symmetry_space_group_name_H-M 'I m m m'
_symmetry_Int_Tables_number 71
_symmetry_space_group_name_Hall '-I 2 2'
_cell_length_a 3.7809
_cell_length_b 5.5479
_cell_length_c 22.6610
_cell_angle_alpha 90.00
_cell_angle_beta 90.00
_cell_angle_gamma 90.00
loop_
_atom_site_label
_atom_site_type_symbol
_atom_site_fract_x
_atom_site_fract_y
_atom_site_fract_z
Pr1 Pr 0.0000 0.0000 0.0000
Pr2 Pr 0.0000 0.5000 0.1247
Ho1 Ho 0.0000 0.0000 0.2351
Cd1 Cd 0.0000 0.0000 0.5000
Cd2 Cd 0.0000 0.5000 0.3779



[7]
# K3ScCd (PBE-GGA, relaxed)
# **DFT formation energy**: 0.827 eV/atom
# **Energy above the most stable polymorph in this dataset**: 0.174 eV/atom
data_K3ScCd
_symmetry_space_group_name_H-M 'P m -3 m'
_symmetry_Int_Tables_number 221
_symmetry_space_group_name_Hall '-P 4 2 3'
_cell_length_a 7.0756
_cell_length_b 7.0756
_cell_length_c 7.0756
_cell_angle_alpha 90.00
_cell_angle_beta 90.00
_cell_angle_gamma 90.00
loop_
_atom_site_label
_atom_site_type_symbol
_atom_site_fract_x
_atom_site_fract_y
_atom_site_fract_z
K1 K 0.0000 0.0000 0.5000
Sc1 Sc 0.0000 0.0000 0.0000
Cd1 Cd 0.5000 0.5000 0.5000



[8]
# Li2TlCd4 (PBE-GGA, relaxed)
# **DFT formation energy**: -0.026 eV/atom
# **Energy above the most stable polymorph in this dataset**: 0.063 eV/atom
data_Li2TlCd4
_symmetry_space_group_name_H-M 'I 4/m m m'
_symmetry_Int_Tables_number 139
_symmetry_space_group_name_Hall '-I 4 2'
_cell_length_a 4.2034
_cell_length_b 4.2034
_cell_length_c 19.6114
_cell_angle_alpha 90.00
_cell_angle_beta 90.00
_cell_angle_gamma 90.00
loop_
_atom_site_label
_atom_site_type_symbol
_atom_site_fract_x
_atom_site_fract_y
_atom_site_fract_z
Li1 Li 0.0000 0.0000 0.1108
Tl1 Tl 0.0000 0.0000 0.5000
Cd1 Cd 0.0000 0.0000 0.3570
Cd2 Cd 0.0000 0.5000 0.2500



[9]
# MgAg2I (PBE-GGA, relaxed)
# **Energy above the most stable polymorph in this dataset**: 0.000 eV/atom
# **Uncorrected formation energy**: 158 meV/atom
data_MgAg2I
_symmetry_space_group_name_H-M 'I -4 2 d'
_symmetry_Int_Tables_number 122
_symmetry_space_group_name_Hall 'I -4 2bw'
_cell_length_a 8.1984
_cell_length_b 8.1984
_cell_length_c 6.0042
_cell_angle_alpha 90.00
_cell_angle_beta 90.00
_cell_angle_gamma 90.00
loop_
_atom_site_label
_atom_site_type_symbol
_atom_site_fract_x
_atom_site_fract_y
_atom_site_fract_z
Mg1 Mg 0.0000 0.0000 0.0000
Ag1 Ag 0.2366 0.2500 0.1250
I1 I 0.0000 0.0000 0.5000



[10]
# Ca2PmAg2 (PBE-GGA, relaxed)
# **DFT formation energy**: -0.167 eV/atom
# **Energy above the most stable polymorph in this dataset**: 0.030 eV/atom
data_Ca2PmAg2
_symmetry_space_group_name_H-M 'P 1 21/m 1'
_symmetry_Int_Tables_number 11
_cell_length_a 5.9859
_cell_length_b 4.6929
_cell_length_c 11.1080
_cell_angle_alpha 90.00
_cell_angle_beta 96.72
_cell_angle_gamma 90.00
loop_
_symmetry_equiv_pos_as_xyz
'x,y,z'
'-x,-y,-z'
'-x,y+1/2,-z'
'x,-y+1/2,z'
loop_
_atom_site_label
_atom_site_type_symbol
_atom_site_fract_x
_atom_site_fract_y
_atom_site_fract_z
Ca1 Ca 0.1096 0.2500 0.3768
Ca2 Ca 0.2495 0.2500 0.0451
Pm1 Pm 0.4026 0.2500 0.7112
Ag1 Ag 0.2317 0.7500 0.8573
Ag2 Ag 0.3711 0.7500 0.5278



[11]
# Mn6Sb7 (PBE-GGA, relaxed)
# **Uncorrected formation energy**: 645 meV/atom
data_Mn6Sb7
_symmetry_space_group_name_H-M 'R -3 m'
_symmetry_Int_Tables_number 166
_symmetry_space_group_name_Hall '-R 3 2"'
_cell_length_a 6.5819
_cell_length_b 6.5819
_cell_length_c 25.3675
_cell_angle_alpha 90.00
_cell_angle_beta 90.00
_cell_angle_gamma 120.00
loop_
_atom_site_label
_atom_site_type_symbol
_atom_site_fract_x
_atom_site_fract_y
_atom_site_fract_z
Mn1 Mn 0.0000 0.0000 0.0587
Mn2 Mn 0.0000 0.0000 0.1685
Mn3 Mn 0.0000 0.0000 0.3387
Sb1 Sb 0.0000 0.0000 0.5000
Sb2 Sb 0.0129 0.5064 0.9231



[12]
# CsTi3Se (PBE-GGA, relaxed)
# **Energy above the most stable polymorph in this dataset**: 1.295 eV/atom
# **Uncorrected formation energy**: 1950 meV/atom
data_CsTi3Se
_symmetry_space_group_name_H-M 'P m -3 m'
_symmetry_Int_Tables_number 221
_symmetry_space_group_name_Hall '-P 4 2 3'
_cell_length_a 4.9891
_cell_length_b 4.9891
_cell_length_c 4.9891
_cell_angle_alpha 90.00
_cell_angle_beta 90.00
_cell_angle_gamma 90.00
loop_
_atom_site_label
_atom_site_type_symbol
_atom_site_fract_x
_atom_site_fract_y
_atom_site_fract_z
Cs1 Cs 0.0000 0.0000 0.0000
Ti1 Ti 0.0000 0.0000 0.5000
Se1 Se 0.5000 0.5000 0.5000



| no. | D(E_F) (states/eV/atom) | total magnetic moment (μB per formula unit) |
| --- | --- | --- |
| 1 | 1.06 | 0.00 |
| 2 | 1.06 | 6.97 |
| 3 | 0.70 | 0.00 |
| 4 | 1.50 | 7.97 |
| 5 | 1.54 | 0.00 |
| 6 | 1.35 | 0.10 |
| 7 | 4.41 | 3.45 |
| 8 | 0.36 | 0.00 |
| 9 | 0.36 | 0.00 |
| 10 | 0.88 | 0.00 |
| 11 | 0.90 | 23.54 |
| 12 | 2.26 | 2.25 |